# GGA+U VFeAg2O, relaxed
data_VFeAg2O
_chemical_formula_sum 'V1 Fe1 Ag2 O1'
_symmetry_space_group_name_H-M 'P 4/m m m'
_symmetry_Int_Tables_number 123
_symmetry_space_group_name_Hall '-P 4 2'
_cell_length_a 4.9195
_cell_length_b 4.9195
_cell_length_c 3.7425
_cell_angle_alpha 90.00
_cell_angle_beta 90.00
_cell_angle_gamma 90.00
loop_
_atom_site_label
_atom_site_fract_x
_atom_site_fract_y
_atom_site_fract_z
_atom_site_occupancy
V1 0.0000 0.0000 0.0000 1
Fe1 0.5000 0.5000 0.0000 1
Ag1 0.0000 0.5000 0.5000 1
O1 0.5000 0.5000 0.5000 1
# Electronic total energy: -4.3857 eV/atom
# Mass density: 6.21 g cm⁻³
# M_tot: 7.55 μB/cell
# Crystal system: tetragonal